*A*
The following is a DFT calculation (PBE) of Cu2OsNF after structural relaxation. Values from VASP.

Magnetic moment (μB/f.u.): 0.1

The structure in Quantum ESPRESSO input format:
```
&SYSTEM
  ibrav = 0, nat = 5, ntyp = 4
/
ATOMIC_SPECIES
Cu 63.55 Cu.upf
Os 190.23 Os.upf
N 14.01 N.upf
F 19.00 F.upf
CELL_PARAMETERS angstrom
2.7218 0.0000 0.0000
-1.3530 4.7005 0.0000
-0.0018 -1.9733 4.6080
ATOMIC_POSITIONS angstrom
Cu 0.0000 0.0000 0.0000
Cu 0.0010 2.1107 2.5381
Os 1.3614 0.1803 3.8229
N 0.0027 1.9833 0.5932
F 1.3620 -0.3154 1.7567
```

***

*B*
The following is a DFT calculation (PBE) of Cu2OsNF after structural relaxation. Values from VASP.

Magnetic moment (μB/f.u.): 0.0

The structure in Quantum ESPRESSO input format:
```
&SYSTEM
  ibrav = 0, nat = 10, ntyp = 4
/
ATOMIC_SPECIES
Cu 63.55 Cu.upf
Os 190.23 Os.upf
N 14.01 N.upf
F 19.00 F.upf
CELL_PARAMETERS angstrom
9.6410 0.0000 0.0000
0.0000 2.6925 0.0000
-0.9528 0.0000 4.6209
ATOMIC_POSITIONS angstrom
Cu 0.0000 0.0000 0.0000
Cu 0.9418 1.3462 2.2113
Cu 4.8205 1.3462 0.0000
Cu 5.7623 0.0000 2.2113
Os 2.6541 0.0000 0.6762
Os 7.4746 1.3462 0.6762
N 0.9281 0.0000 3.7227
N 5.7486 1.3462 3.7227
F 3.5854 0.0000 2.5862
F 8.4058 1.3462 2.5862
```

***

*C*
The following is a DFT calculation (PBE) of Cu2OsNF after structural relaxation. Values from VASP.

Magnetic moment (μB/f.u.): 0.0

The structure in Quantum ESPRESSO input format:
```
&SYSTEM
  ibrav = 0, nat = 10, ntyp = 4
/
ATOMIC_SPECIES
Cu 63.55 Cu.upf
Os 190.23 Os.upf
N 14.01 N.upf
F 19.00 F.upf
CELL_PARAMETERS angstrom
2.8634 0.0000 0.0000
0.0000 4.1205 0.0000
0.0000 0.0000 11.3318
ATOMIC_POSITIONS angstrom
Cu 0.0000 0.0000 0.0000
Cu 0.0000 2.0603 3.4001
Cu 1.4317 0.0000 9.0660
Cu 1.4317 2.0603 5.6659
Os 0.0000 2.0603 9.4506
Os 1.4317 0.0000 3.7847
N 0.0000 2.0603 11.1771
N 1.4317 0.0000 5.5112
F 0.0000 2.0603 7.2382
F 1.4317 0.0000 1.5723
```

***

*D*
The following is a DFT calculation (PBE) of Cu2OsNF after structural relaxation. Values from VASP.

Magnetic moment (μB/f.u.): 0.0

The structure in Quantum ESPRESSO input format:
```
&SYSTEM
  ibrav = 0, nat = 10, ntyp = 4
/
ATOMIC_SPECIES
Cu 63.55 Cu.upf
Os 190.23 Os.upf
N 14.01 N.upf
F 19.00 F.upf
CELL_PARAMETERS angstrom
10.0327 0.0000 0.0000
0.0000 2.7229 0.0000
-0.3366 0.0000 4.5253
ATOMIC_POSITIONS angstrom
Cu 0.0000 0.0000 0.0000
Cu 2.2237 1.3614 3.3078
Cu 5.0164 1.3614 0.0000
Cu 7.2400 0.0000 3.3078
Os 3.2783 0.0000 1.3348
Os 8.2947 1.3614 1.3348
N 1.9261 0.0000 0.2171
N 6.9425 1.3614 0.2171
F -0.0404 1.3614 2.7066
F 4.9760 0.0000 2.7066
```

***

Among the structures above, stability is greatest for *D*.